Material: TbPm3Er2Tm6
Method: DFT, GGA-PBE
State: relaxed

Structure (CIF):
```
data_TbPm3Er2Tm6
_chemical_formula_sum 'Tb1 Pm3 Er2 Tm6'
_space_group_name_H-M_alt 'P 1'
_space_group_IT_number 1
_space_group_name_Hall 'P 1'
_cell_length_a 6.1323
_cell_length_b 6.1323
_cell_length_c 11.6674
_cell_angle_alpha 95.02
_cell_angle_beta 95.02
_cell_angle_gamma 119.97
loop_
_atom_site_label
_atom_site_type_symbol
_atom_site_fract_x
_atom_site_fract_y
_atom_site_fract_z
_atom_site_occupancy
Tb1 Tb 0.0000 0.0000 0.0000 1
Pm1 Pm 0.1668 0.8332 0.5000 1
Pm2 Pm 0.5000 0.5000 0.5000 1
Pm3 Pm 0.8332 0.1668 0.5000 1
Er1 Er 0.3333 0.6667 0.0000 1
Er2 Er 0.6667 0.3333 0.0000 1
Tm1 Tm 0.0825 0.4160 0.2468 1
Tm2 Tm 0.2510 0.2510 0.7532 1
Tm3 Tm 0.4160 0.0825 0.2468 1
Tm4 Tm 0.5840 0.9175 0.7532 1
Tm5 Tm 0.7490 0.7490 0.2468 1
Tm6 Tm 0.9175 0.5840 0.7532 1
```

Output
ρ, Mg/m³: 8.62
DFT total energy, eV/atom: -4.55
E_form, kJ/mol of formula units: 26
Total magnetization, μB per atom: 0.000